Record 1
Compound: PrHoErSc
Source: Alexandria via LeMat-Bulk
Functional: GGA-PBE
Structure: optimized geometry

Properties
Excess energy over the best structure of this formula in the dataset, eV/f.u.: 0.00
Space-group type: R3m

Cell and atoms, written as POSCAR:
```
PrHoErSc
1.0
3.524 0.000 0.000
-1.762 3.052 0.000
0.000 0.000 33.998
Pr Ho Er Sc
3 3 3 3
Direct
0.000 0.000 0.000
0.333 0.667 0.667
0.667 0.333 0.333
0.000 0.000 0.755
0.333 0.667 0.422
0.667 0.333 0.089
0.000 0.000 0.172
0.333 0.667 0.838
0.667 0.333 0.505
0.000 0.000 0.584
0.333 0.667 0.251
0.667 0.333 0.917
```

---

Record 2
Compound: Dy2YSb
Source: Alexandria via LeMat-Bulk
Functional: GGA-PBE
Structure: optimized geometry

Properties
Uncorrected formation energy, meV per atom: -336
Excess energy over the best structure of this formula in the dataset, eV/f.u.: 0.92
Space-group type: R3m

Cell and atoms, written as POSCAR:
```
Dy2YSb
1.0
4.003 0.000 0.000
-2.002 3.467 0.000
0.000 0.000 28.441
Dy Y Sb
6 3 3
Direct
0.000 0.000 0.000
0.000 0.000 0.198
0.333 0.667 0.667
0.333 0.667 0.864
0.667 0.333 0.333
0.667 0.333 0.531
0.000 0.000 0.433
0.333 0.667 0.099
0.667 0.333 0.766
0.000 0.000 0.598
0.333 0.667 0.265
0.667 0.333 0.932
```

---

Record 3
Compound: Tm7Ag2Te2
Source: Alexandria via LeMat-Bulk
Functional: GGA-PBE
Structure: optimized geometry

Properties
Uncorrected formation energy, meV per atom: -563
Excess energy over the best structure of this formula in the dataset, eV/f.u.: 0.00
Space-group type: Imm2

Cell and atoms, written as POSCAR:
```
Tm7Ag2Te2
1.0
-2.026 7.687 4.809
2.026 -7.687 4.809
2.026 7.687 -4.809
Tm Ag Te
7 2 2
Direct
0.000 0.000 0.000
0.285 0.411 0.874
0.307 0.623 0.684
0.537 0.411 0.126
0.616 0.256 0.360
0.896 0.256 0.640
0.940 0.623 0.316
0.160 0.925 0.235
0.691 0.925 0.765
0.262 0.762 0.500
0.659 0.659 0.000
```

---

Record 4
Compound: KCr3Co
Source: Alexandria via LeMat-Bulk
Functional: GGA-PBE
Structure: optimized geometry

Properties
Excess energy over the best structure of this formula in the dataset, eV/f.u.: 8.86
Space-group type: Pm-3m

Cell and atoms, written as POSCAR:
```
KCr3Co
1.0
4.119 0.000 0.000
0.000 4.119 0.000
0.000 0.000 4.119
K Cr Co
1 3 1
Direct
0.000 0.000 0.000
0.000 0.000 0.500
0.000 0.500 0.000
0.500 0.000 0.000
0.500 0.500 0.500
```

---

Record 5
Compound: YTe2Mo
Source: Alexandria via LeMat-Bulk
Functional: GGA-PBE
Structure: optimized geometry

Properties
Uncorrected formation energy, meV per atom: 294
Excess energy over the best structure of this formula in the dataset, eV/f.u.: 2.71
Space-group type: F-43m

Cell and atoms, written as POSCAR:
```
YTe2Mo
1.0
7.213 0.000 0.000
0.000 7.213 0.000
0.000 0.000 7.213
Y Te Mo
4 8 4
Direct
0.000 0.000 0.000
0.000 0.500 0.500
0.500 0.000 0.500
0.500 0.500 0.000
0.000 0.000 0.500
0.000 0.500 0.000
0.250 0.250 0.750
0.250 0.750 0.250
0.500 0.000 0.000
0.500 0.500 0.500
0.750 0.250 0.250
0.750 0.750 0.750
0.250 0.250 0.250
0.250 0.750 0.750
0.750 0.250 0.750
0.750 0.750 0.250
```

---

Record 6
Compound: AlTcOs
Source: Alexandria via LeMat-Bulk
Functional: GGA-PBE
Structure: optimized geometry

Properties
Excess energy over the best structure of this formula in the dataset, eV/f.u.: 1.24
Space-group type: Fmm2

Cell and atoms, written as POSCAR:
```
AlTcOs
1.0
2.904 0.000 0.000
0.000 4.641 0.000
0.000 0.000 12.971
Al Tc Os
4 4 4
Direct
0.000 0.000 0.000
0.000 0.500 0.500
0.500 0.000 0.500
0.500 0.500 0.000
0.000 0.000 0.667
0.000 0.500 0.167
0.500 0.000 0.167
0.500 0.500 0.667
0.000 0.000 0.336
0.000 0.500 0.836
0.500 0.000 0.836
0.500 0.500 0.336
```